Entry 1:
Compound: Th4ZnB3Ir12
Source: Alexandria
Functional: PBE-GGA
Structure: optimized geometry

ΔE_f: -0.544 eV/atom

Structure (POSCAR):
```
Th4ZnB3Ir12
1.0
7.595 0.000 0.000
-2.532 7.161 0.000
-2.532 -3.580 6.201
Zn Ir Th B
1 12 4 3
Cartesian
0.000 0.000 0.000 Zn
3.687 -2.607 4.516 Ir
3.798 2.685 1.550 Ir
1.266 4.475 1.550 Ir
1.376 1.946 0.000 Ir
1.376 -0.973 1.686 Ir
3.798 0.000 3.101 Ir
-1.376 0.973 1.686 Ir
-1.266 0.895 4.651 Ir
-1.266 3.580 3.101 Ir
3.687 5.214 0.000 Ir
1.266 -0.895 4.651 Ir
-3.687 2.607 4.516 Ir
3.798 0.000 0.000 Th
-1.266 -1.790 3.101 Th
1.266 1.790 3.101 Th
-1.266 3.580 0.000 Th
2.532 3.580 0.000 B
-2.532 1.790 3.101 B
2.532 -1.790 3.101 B
```

Entry 2:
Compound: Mg4Rh5
Source: Alexandria
Functional: PBE-GGA
Structure: optimized geometry

excess energy over the best structure of this formula in the dataset: 46 meV per atom
ΔE_f: -0.239 eV/atom

Structure (POSCAR):
```
Mg4Rh5
1.0
-3.196 -1.666 5.182
2.288 4.974 -3.142
-4.693 -1.199 -4.048
Mg Rh
4 5
Cartesian
-0.735 1.154 -2.198 Mg
-1.670 2.621 -4.992 Mg
-2.411 -0.876 0.347 Mg
-5.478 -1.989 0.788 Mg
-3.443 0.304 -2.025 Rh
0.000 0.000 0.000 Rh
0.454 2.753 -0.358 Rh
-2.158 1.805 0.018 Rh
-1.362 0.555 2.398 Rh
```

Entry 3:
Compound: CsNdRuO6
Source: Alexandria
Functional: PBE-GGA
Structure: optimized geometry

formation energy from raw total energies: -1.4689 eV/atom

Structure (POSCAR):
```
CsNdRuO6
1.0
5.813 0.000 0.000
2.906 5.034 0.000
0.000 0.000 6.446
O Cs Ru Nd
6 1 1 1
Cartesian
3.551 0.286 2.120 O
2.024 2.932 4.325 O
1.379 1.815 2.120 O
4.434 1.815 4.325 O
3.789 2.932 2.120 O
2.262 0.286 4.325 O
8.719 5.033 6.445 Cs
2.906 1.678 3.223 Ru
5.813 3.356 3.223 Nd
```

Entry 4:
Compound: PuGa2Pt
Source: Alexandria
Functional: PBE-GGA
Structure: optimized geometry

ΔE_f: -0.508 eV/atom

Structure (POSCAR):
```
PuGa2Pt
1.0
3.235 0.000 0.000
0.000 3.235 0.000
0.000 0.000 7.091
Ga Pu Pt
2 1 1
Cartesian
0.000 0.000 5.653 Ga
0.000 0.000 1.438 Ga
1.618 1.618 3.545 Pu
1.618 1.618 0.000 Pt
```

Entry 5:
Compound: AgMoBr2
Source: Alexandria
Functional: PBE-GGA
Structure: optimized geometry

excess energy over the best structure of this formula in the dataset: 36 meV per atom
formation energy from raw total energies: 0.1794 eV/atom

Structure (POSCAR):
```
AgMoBr2
1.0
-1.463 -1.182 -2.784
2.365 -3.347 0.177
-4.273 -5.291 4.491
Ag Mo Br
1 1 2
Cartesian
-2.068 -6.701 1.904 Ag
-1.788 -3.950 2.616 Mo
-3.557 -5.126 4.045 Br
-1.184 -3.652 0.145 Br
```

Entry 6:
Compound: Pm2HoTmTe5
Source: Alexandria
Functional: PBE-GGA
Structure: optimized geometry

formation energy from raw total energies: -0.7810 eV/atom

Structure (POSCAR):
```
Pm2HoTmTe5
1.0
5.489 0.000 0.000
0.000 5.489 0.000
0.000 0.000 11.497
Te Ho Pm Tm
5 1 2 1
Cartesian
0.000 2.744 5.749 Te
2.744 2.744 0.000 Te
0.000 0.000 8.668 Te
0.000 0.000 2.829 Te
2.744 0.000 5.749 Te
0.000 0.000 0.000 Ho
2.744 2.744 7.607 Pm
2.744 2.744 3.890 Pm
0.000 0.000 5.749 Tm
```

Entry 7:
Compound: Pr6HgPt2I3
Source: Alexandria
Functional: PBE-GGA
Structure: optimized geometry

formation energy from raw total energies: -0.9438 eV/atom

Structure (POSCAR):
```
Pr6HgPt2I3
1.0
-0.327 -5.810 -4.769
5.147 5.389 -1.042
3.627 -3.960 6.573
Pr I Hg Pt
6 3 1 2
Cartesian
0.938 -2.892 -0.780 Pr
5.558 -5.480 0.213 Pr
4.317 -3.306 3.594 Pr
7.508 -1.491 1.541 Pr
4.129 -1.076 -2.832 Pr
2.889 1.098 0.548 Pr
6.082 1.611 1.646 I
2.365 -5.993 -0.885 I
4.223 -2.191 0.381 I
0.000 0.000 0.000 Hg
3.329 1.670 -2.280 Pt
1.490 -2.092 -3.532 Pt
```

Entry 8:
Compound: CdAsPbO4
Source: Alexandria
Functional: PBE-GGA
Structure: optimized geometry

formation energy from raw total energies: -1.0605 eV/atom

Structure (POSCAR):
```
CdAsPbO4
1.0
-3.728 0.889 5.666
2.850 -0.514 6.085
0.896 5.449 3.863
Pb Cd As O
2 2 2 8
Cartesian
1.873 2.468 4.974 Pb
0.000 0.000 0.000 Pb
0.448 2.724 1.932 Cd
-1.416 3.169 4.765 Cd
-0.416 0.927 7.839 As
0.434 4.898 7.775 As
-0.090 1.179 3.885 O
0.401 4.277 6.140 O
-1.639 1.795 6.898 O
1.162 1.179 7.127 O
0.108 4.645 11.730 O
1.657 4.030 8.716 O
-0.383 1.547 9.475 O
-1.144 4.646 8.488 O
```

Entry 9:
Compound: Ti2MnZn
Source: Alexandria
Functional: PBE-GGA
Structure: optimized geometry

ΔE_f: -0.261 eV/atom

Structure (POSCAR):
```
Ti2MnZn
1.0
-1.764 -1.708 -1.790
2.419 -1.654 -0.805
-1.073 -3.890 4.770
Ti Zn Mn
2 1 1
Cartesian
-0.830 -3.010 3.690 Ti
-0.243 -0.880 1.079 Ti
-0.209 -3.626 1.087 Zn
0.327 -1.681 -1.298 Mn
```

Entry 10:
Compound: Si2HgIr2
Source: Alexandria
Functional: PBE-GGA
Structure: optimized geometry

excess energy over the best structure of this formula in the dataset: 299 meV per atom
formation energy from raw total energies: -0.1188 eV/atom

Structure (POSCAR):
```
Si2HgIr2
1.0
7.453 0.000 0.000
0.000 7.453 0.000
0.000 0.000 2.772
Ir Hg Si
4 2 4
Cartesian
4.781 6.397 1.386 Ir
1.055 4.781 1.386 Ir
2.671 1.055 1.386 Ir
6.397 2.671 1.386 Ir
0.000 0.000 0.000 Hg
3.726 3.726 0.000 Hg
4.802 1.076 0.000 Si
1.076 2.650 0.000 Si
2.650 6.376 0.000 Si
6.376 4.802 0.000 Si
```

Entry 11:
Compound: NaLi2CoCl6
Source: Alexandria
Functional: PBE-GGA
Structure: optimized geometry

formation energy from raw total energies: -1.2523 eV/atom

Structure (POSCAR):
```
NaLi2CoCl6
1.0
6.638 -0.624 -0.648
1.380 7.945 0.122
1.380 -0.172 7.944
Li Cl Na Co
4 12 2 2
Cartesian
3.161 5.815 4.484 Li
2.917 3.196 1.766 Li
6.481 3.953 5.654 Li
6.236 1.334 2.935 Li
1.452 4.996 1.266 Cl
4.771 0.768 4.715 Cl
5.328 3.314 1.885 Cl
2.009 2.073 3.705 Cl
7.388 5.076 3.714 Cl
4.069 3.836 5.534 Cl
3.370 7.715 6.095 Cl
4.626 6.381 2.704 Cl
7.945 2.153 6.153 Cl
6.689 5.493 7.612 Cl
6.027 -0.566 1.324 Cl
2.708 1.656 -0.193 Cl
3.039 7.111 0.614 Na
6.358 0.039 6.805 Na
3.039 1.810 5.722 Co
6.358 5.339 1.697 Co
```

Entry 12:
Compound: ZnRuPb
Source: Alexandria
Functional: PBE-GGA
Structure: optimized geometry

ΔE_f: 0.341 eV/atom

Structure (POSCAR):
```
ZnRuPb
1.0
4.431 0.000 0.000
2.215 3.837 0.000
2.215 1.279 3.618
Zn Ru Pb
1 1 1
Cartesian
0.000 0.000 0.000 Zn
2.215 1.279 0.904 Ru
4.431 2.558 1.809 Pb
```